# 1
Computed, not measured: a relaxed MnV2CS crystal at the PBE-GGA level of DFT.

Raw formation energy, eV per formula unit: 6.63

CIF file:
```
data_MnV2CS
_symmetry_space_group_name_H-M 'P 4/m m m'
_symmetry_Int_Tables_number 123
_symmetry_space_group_name_Hall '-P 4 2'
_cell_length_a 4.385
_cell_length_b 4.385
_cell_length_c 3.451
_cell_angle_alpha 90.00
_cell_angle_beta 90.00
_cell_angle_gamma 90.00
loop_
_atom_site_label
_atom_site_fract_x
_atom_site_fract_y
_atom_site_fract_z
Mn1 0.000 0.000 0.000
V1 0.000 0.500 0.500
C1 0.500 0.500 0.000
S1 0.500 0.500 0.500
```

# 2
Computed, not measured: a relaxed CaNiSe3 crystal at the PBE-GGA level of DFT.

Raw formation energy, eV per formula unit: -2.84

CIF file:
```
data_CaNiSe3
_symmetry_space_group_name_H-M 'P m -3 m'
_symmetry_Int_Tables_number 221
_symmetry_space_group_name_Hall '-P 4 2 3'
_cell_length_a 4.797
_cell_length_b 4.797
_cell_length_c 4.797
_cell_angle_alpha 90.00
_cell_angle_beta 90.00
_cell_angle_gamma 90.00
loop_
_atom_site_label
_atom_site_fract_x
_atom_site_fract_y
_atom_site_fract_z
Ca1 0.000 0.000 0.000
Ni1 0.500 0.500 0.500
Se1 0.000 0.500 0.500
```

# 3
Computed, not measured: a relaxed PdRhO2 crystal at the PBE-GGA level of DFT.

Raw formation energy, eV per formula unit: -0.99

CIF file:
```
data_PdRhO2
_symmetry_space_group_name_H-M 'C 1 2/c 1'
_symmetry_Int_Tables_number 15
_cell_length_a 11.278
_cell_length_b 7.668
_cell_length_c 10.324
_cell_angle_alpha 90.00
_cell_angle_beta 115.32
_cell_angle_gamma 90.00
loop_
_symmetry_equiv_pos_as_xyz
'x,y,z'
'-x,-y,-z'
'-x,y,-z+1/2'
'x,-y,z+1/2'
'x+1/2,y+1/2,z'
'-x+1/2,-y+1/2,-z'
'-x+1/2,y+1/2,-z+1/2'
'x+1/2,-y+1/2,z+1/2'
loop_
_atom_site_label
_atom_site_fract_x
_atom_site_fract_y
_atom_site_fract_z
Pd1 0.091 0.014 0.415
Pd2 0.197 0.294 0.590
Rh1 0.060 0.328 0.104
Rh2 0.135 0.393 0.794
O1 0.000 0.190 0.250
O2 0.000 0.195 0.750
O3 0.096 0.499 0.462
O4 0.179 0.168 0.063
O5 0.226 0.399 0.269
```

# 4
Computed, not measured: a relaxed K2InS2 crystal at the PBE-GGA level of DFT.

ΔE to the lowest computed polymorph, meV per atom: 0
Raw formation energy, eV per formula unit: -4.35

CIF file:
```
data_K2InS2
_symmetry_space_group_name_H-M 'C m c 21'
_symmetry_Int_Tables_number 36
_cell_length_a 4.941
_cell_length_b 16.769
_cell_length_c 7.560
_cell_angle_alpha 90.00
_cell_angle_beta 90.00
_cell_angle_gamma 90.00
loop_
_symmetry_equiv_pos_as_xyz
'x,y,z'
'-x,-y,z+1/2'
'-x,y,z'
'x,-y,z+1/2'
'x+1/2,y+1/2,z'
'-x+1/2,-y+1/2,z+1/2'
'-x+1/2,y+1/2,z'
'x+1/2,-y+1/2,z+1/2'
loop_
_atom_site_label
_atom_site_fract_x
_atom_site_fract_y
_atom_site_fract_z
K1 0.000 0.034 0.000
K2 0.000 0.203 0.703
In1 0.000 0.405 0.860
S1 0.000 0.153 0.308
S2 0.000 0.447 0.209
```

# 5
Computed, not measured: a relaxed K2BaSr crystal at the PBE-GGA level of DFT.

Calculated formation energy, meV per atom: 102

CIF file:
```
data_K2BaSr
_symmetry_space_group_name_H-M 'C m m m'
_symmetry_Int_Tables_number 65
_symmetry_space_group_name_Hall '-C 2 2'
_cell_length_a 4.668
_cell_length_b 7.302
_cell_length_c 15.196
_cell_angle_alpha 90.00
_cell_angle_beta 90.00
_cell_angle_gamma 90.00
loop_
_atom_site_label
_atom_site_fract_x
_atom_site_fract_y
_atom_site_fract_z
K1 0.000 0.000 0.247
Ba1 0.000 0.500 0.500
Sr1 0.000 0.500 0.000
```

# 6
Computed, not measured: a relaxed Ac2PmNd7 crystal at the PBE-GGA level of DFT.

Calculated formation energy, meV per atom: 150
ΔE to the lowest computed polymorph, meV per atom: 0

CIF file:
```
data_Ac2PmNd7
_symmetry_space_group_name_H-M 'C m m m'
_symmetry_Int_Tables_number 65
_symmetry_space_group_name_Hall '-C 2 2'
_cell_length_a 6.885
_cell_length_b 30.181
_cell_length_c 3.620
_cell_angle_alpha 90.00
_cell_angle_beta 90.00
_cell_angle_gamma 90.00
loop_
_atom_site_label
_atom_site_fract_x
_atom_site_fract_y
_atom_site_fract_z
Ac1 0.000 0.205 0.000
Pm1 0.000 0.500 0.500
Nd1 0.000 0.000 0.000
Nd2 0.000 0.316 0.500
Nd3 0.244 0.404 0.000
```

# 7
Computed, not measured: a relaxed NaOsBr3 crystal at the PBE-GGA level of DFT.

ΔE to the lowest computed polymorph, meV per atom: 970
Raw formation energy, eV per formula unit: 4.64

CIF file:
```
data_NaOsBr3
_symmetry_space_group_name_H-M 'P m -3 m'
_symmetry_Int_Tables_number 221
_symmetry_space_group_name_Hall '-P 4 2 3'
_cell_length_a 5.290
_cell_length_b 5.290
_cell_length_c 5.290
_cell_angle_alpha 90.00
_cell_angle_beta 90.00
_cell_angle_gamma 90.00
loop_
_atom_site_label
_atom_site_fract_x
_atom_site_fract_y
_atom_site_fract_z
Na1 0.000 0.000 0.000
Os1 0.500 0.500 0.500
Br1 0.000 0.000 0.500
```

# 8
Computed, not measured: a relaxed Pr2AlTe4 crystal at the PBE-GGA level of DFT.

Raw formation energy, eV per formula unit: -7.01

CIF file:
```
data_Pr2AlTe4
_symmetry_space_group_name_H-M 'P 1 21/m 1'
_symmetry_Int_Tables_number 11
_cell_length_a 7.327
_cell_length_b 7.448
_cell_length_c 8.637
_cell_angle_alpha 90.00
_cell_angle_beta 106.70
_cell_angle_gamma 90.00
loop_
_symmetry_equiv_pos_as_xyz
'x,y,z'
'-x,-y,-z'
'-x,y+1/2,-z'
'x,-y+1/2,z'
loop_
_atom_site_label
_atom_site_fract_x
_atom_site_fract_y
_atom_site_fract_z
Pr1 0.212 0.250 0.045
Pr2 0.261 0.250 0.572
Al1 0.272 0.750 0.320
Te1 0.009 0.004 0.262
Te2 0.419 0.750 0.074
Te3 0.431 0.750 0.639
```

# 9
Computed, not measured: a relaxed La2VGa crystal at the PBE-GGA level of DFT.

Calculated formation energy, meV per atom: 448

CIF file:
```
data_La2VGa
_symmetry_space_group_name_H-M 'R -3 m'
_symmetry_Int_Tables_number 166
_symmetry_space_group_name_Hall '-R 3 2"'
_cell_length_a 3.3764
_cell_length_b 3.3764
_cell_length_c 32.2042
_cell_angle_alpha 90.00
_cell_angle_beta 90.00
_cell_angle_gamma 120.00
loop_
_atom_site_label
_atom_site_fract_x
_atom_site_fract_y
_atom_site_fract_z
La1 0.0000 0.0000 0.0874
V1 0.0000 0.0000 0.0000
Ga1 0.0000 0.0000 0.5000
```

# 10
Computed, not measured: a relaxed Cd5PdPt2Au2 crystal at the PBE-GGA level of DFT.

Calculated formation energy, meV per atom: -182

CIF file:
```
data_Cd5PdPt2Au2
_symmetry_space_group_name_H-M 'P 4/m b m'
_symmetry_Int_Tables_number 127
_symmetry_space_group_name_Hall '-P 4 2ab'
_cell_length_a 9.884
_cell_length_b 9.884
_cell_length_c 4.016
_cell_angle_alpha 90.00
_cell_angle_beta 90.00
_cell_angle_gamma 90.00
loop_
_atom_site_label
_atom_site_fract_x
_atom_site_fract_y
_atom_site_fract_z
Cd1 0.000 0.500 0.000
Cd2 0.108 0.176 0.000
Pd1 0.000 0.000 0.500
Pt1 0.133 0.367 0.500
Au1 0.162 0.662 0.500
```

# 11
Computed, not measured: a relaxed ReNiSe crystal at the PBE-GGA level of DFT.

ΔE to the lowest computed polymorph, meV per atom: 131
Raw formation energy, eV per formula unit: 0.12

CIF file:
```
data_ReNiSe
_symmetry_space_group_name_H-M 'P -1'
_symmetry_Int_Tables_number 2
_cell_length_a 3.212
_cell_length_b 4.041
_cell_length_c 9.215
_cell_angle_alpha 99.21
_cell_angle_beta 90.38
_cell_angle_gamma 112.76
loop_
_symmetry_equiv_pos_as_xyz
'x,y,z'
'-x,-y,-z'
loop_
_atom_site_label
_atom_site_fract_x
_atom_site_fract_y
_atom_site_fract_z
Re1 0.170 0.332 0.068
Ni1 0.097 0.198 0.782
Se1 0.375 0.747 0.686
```

# 12
Computed, not measured: a relaxed Tb3Pr3ErS8 crystal at the PBE-GGA level of DFT.

Raw formation energy, eV per formula unit: -30.80

CIF file:
```
data_Tb3Pr3ErS8
_symmetry_space_group_name_H-M 'R -3 m'
_symmetry_Int_Tables_number 166
_symmetry_space_group_name_Hall '-R 3 2"'
_cell_length_a 7.9542
_cell_length_b 7.9542
_cell_length_c 19.8491
_cell_angle_alpha 90.00
_cell_angle_beta 90.00
_cell_angle_gamma 120.00
loop_
_atom_site_label
_atom_site_fract_x
_atom_site_fract_y
_atom_site_fract_z
Tb1 0.0000 0.5000 0.0000
Pr1 0.0000 0.5000 0.5000
Er1 0.0000 0.0000 0.0000
S1 0.0000 0.0000 0.2554
S2 0.0018 0.5009 0.7444
```

Please write out number 2 again, unchanged.
Computed, not measured: a relaxed CaNiSe3 crystal at the PBE-GGA level of DFT.

Raw formation energy, eV per formula unit: -2.84

CIF file:
```
data_CaNiSe3
_symmetry_space_group_name_H-M 'P m -3 m'
_symmetry_Int_Tables_number 221
_symmetry_space_group_name_Hall '-P 4 2 3'
_cell_length_a 4.797
_cell_length_b 4.797
_cell_length_c 4.797
_cell_angle_alpha 90.00
_cell_angle_beta 90.00
_cell_angle_gamma 90.00
loop_
_atom_site_label
_atom_site_fract_x
_atom_site_fract_y
_atom_site_fract_z
Ca1 0.000 0.000 0.000
Ni1 0.500 0.500 0.500
Se1 0.000 0.500 0.500
```